A plane-wave DFT calculation with GGA-PBE was carried out for Re2AgO4 after structural relaxation.

Computed properties:
Its space group is Fd-3m. For the density, the calculation gives 9.87 g/cm³. The final energy is -7.3958 eV/atom.

Cell: 6.3752 6.3752 6.3752 Å, 60.00 60.00 60.00°
Last column: nearest neighbours and their distance in Å.
Fractional positions:
Re 0.0000 0.0000 0.0000  6 O 2.08
Re 0.0000 0.0000 0.5000  6 O 2.08
Re 0.0000 0.5000 0.0000  6 O 2.08
Re 0.5000 0.0000 0.0000  6 O 2.08
Ag 0.3750 0.3750 0.3750  4 O 2.28
Ag 0.6250 0.6250 0.6250  4 O 2.28
O 0.1866 0.7711 0.7711  3 Re 2.08, 1 Ag 2.28
O 0.2289 0.2289 0.2289  3 Re 2.08, 1 Ag 2.28
O 0.2289 0.2289 0.8134  3 Re 2.08, 1 Ag 2.28
O 0.2289 0.8134 0.2289  3 Re 2.08, 1 Ag 2.28
O 0.7711 0.1866 0.7711  3 Re 2.08, 1 Ag 2.28
O 0.7711 0.7711 0.1866  3 Re 2.08, 1 Ag 2.28
O 0.7711 0.7711 0.7711  3 Re 2.08, 1 Ag 2.28
O 0.8134 0.2289 0.2289  3 Re 2.08, 1 Ag 2.28

A plane-wave DFT calculation with GGA-PBE was carried out for Re2Ag2O5 after structural relaxation.

Computed properties:
The value obtained for the offset from the most stable computed form is 0.570 eV/atom. Its space group is P4/mmm. For the density, the calculation gives 9.91 g/cm³. The final energy is -6.2010 eV/atom.

Cell: 3.2957 3.2957 10.3063 Å, 90.00 90.00 90.00°
Last column: nearest neighbours and their distance in Å.
Fractional positions:
Re 0.0000 0.0000 0.0000  4 O 2.33
Re 0.0000 0.0000 0.5000  8 O 2.01
Ag 0.5000 0.5000 0.2209  5 O 2.28-2.38
Ag 0.5000 0.5000 0.7791  5 O 2.28-2.38
O 0.0000 0.5000 0.3876  2 Re 2.01
O 0.0000 0.5000 0.6124  2 Re 2.01
O 0.5000 0.0000 0.3876  2 Re 2.01
O 0.5000 0.0000 0.6124  2 Re 2.01
O 0.5000 0.5000 0.0000  2 Ag 2.28, 4 Re 2.33

A plane-wave DFT calculation with GGA-PBE was carried out for ReAgO3 after structural relaxation.

Computed properties:
Its space group is R-3. For the density, the calculation gives 8.76 g/cm³. The final energy is -6.9104 eV/atom.

Cell: 5.9735 5.9735 5.9735 Å, 54.01 54.01 54.01°
Last column: nearest neighbours and their distance in Å.
Fractional positions:
Re 0.1621 0.1621 0.1621  6 O 1.95-1.99
Re 0.8379 0.8379 0.8379  6 O 1.95-1.99
Ag 0.3673 0.3673 0.3673  3 O 2.32
Ag 0.6327 0.6327 0.6327  3 O 2.32
O 0.0435 0.8170 0.4374  2 Re 1.95-1.99
O 0.1830 0.5626 0.9565  2 Re 1.95-1.99
O 0.4374 0.0435 0.8170  2 Re 1.95-1.99
O 0.5626 0.9565 0.1830  2 Re 1.95-1.99
O 0.8170 0.4374 0.0435  2 Re 1.95-1.99
O 0.9565 0.1830 0.5626  2 Re 1.95-1.99

A plane-wave DFT calculation with GGA-PBE was carried out for ReAgO3 after structural relaxation.

Computed properties:
Its space group is Pnma. For the density, the calculation gives 9.87 g/cm³. The final energy is -6.9773 eV/atom.

Cell: 5.4993 7.7172 5.4216 Å, 90.00 90.00 90.00°
Last column: nearest neighbours and their distance in Å.
Fractional positions:
Re 0.0000 0.0000 0.0000  6 O 1.95
Re 0.0000 0.5000 0.0000  6 O 1.95
Re 0.5000 0.0000 0.5000  6 O 1.95
Re 0.5000 0.5000 0.5000  6 O 1.95
Ag 0.0063 0.2500 0.4984  8 O 2.46-2.74
Ag 0.4937 0.7500 0.9984  8 O 2.46-2.74
Ag 0.5063 0.2500 0.0016  8 O 2.46-2.74
Ag 0.9937 0.7500 0.5016  8 O 2.46-2.74
O 0.0046 0.7500 0.0489  2 Re 1.95
O 0.2277 0.5245 0.7271  2 Re 1.95
O 0.2277 0.9755 0.7271  2 Re 1.95
O 0.2723 0.0245 0.2271  2 Re 1.95
O 0.2723 0.4755 0.2271  2 Re 1.95
O 0.4954 0.2500 0.5489  2 Re 1.95
O 0.5046 0.7500 0.4511  2 Re 1.95
O 0.7277 0.5245 0.7729  2 Re 1.95
O 0.7277 0.9755 0.7729  2 Re 1.95
O 0.7723 0.0245 0.2729  2 Re 1.95
O 0.7723 0.4755 0.2729  2 Re 1.95
O 0.9954 0.2500 0.9511  2 Re 1.95

A plane-wave DFT calculation with GGA-PBE was carried out for ReAg6O8 after structural relaxation.

Computed properties:
Its space group is Fm-3m. For the density, the calculation gives 7.69 g/cm³. The final energy is -4.9455 eV/atom.

Cell: 6.6475 6.6475 6.6475 Å, 60.00 60.00 60.00°
Last column: nearest neighbours and their distance in Å.
Fractional positions:
Re 0.0000 0.0000 0.0000  6 O 1.92
Ag 0.0000 0.0000 0.5000  6 O 2.35-2.39
Ag 0.0000 0.5000 0.0000  6 O 2.35-2.39
Ag 0.0000 0.5000 0.5000  6 O 2.35-2.39
Ag 0.5000 0.0000 0.0000  6 O 2.35-2.39
Ag 0.5000 0.0000 0.5000  6 O 2.35-2.39
Ag 0.5000 0.5000 0.0000  6 O 2.35-2.39
O 0.2047 0.2047 0.7953  1 Re 1.92
O 0.2047 0.7953 0.2047  1 Re 1.92
O 0.2047 0.7953 0.7953  1 Re 1.92
O 0.2500 0.2500 0.2500  6 Ag 2.35
O 0.7500 0.7500 0.7500  6 Ag 2.35
O 0.7953 0.2047 0.2047  1 Re 1.92
O 0.7953 0.2047 0.7953  1 Re 1.92
O 0.7953 0.7953 0.2047  1 Re 1.92

A plane-wave DFT calculation with GGA-PBE was carried out for Re2AgO8 after structural relaxation.

Computed properties:
Its space group is P-3. For the density, the calculation gives 5.42 g/cm³. The final energy is -7.3299 eV/atom.

Cell: 5.8493 5.8493 6.2871 Å, 90.00 90.00 120.00°
Last column: nearest neighbours and their distance in Å.
Fractional positions:
Re 0.3333 0.6667 0.3055  4 O 1.74-1.76
Re 0.6667 0.3333 0.6945  4 O 1.74-1.76
Ag 0.0000 0.0000 0.0000  6 O 2.20
O 0.1386 0.3403 0.2165  1 Re 1.76
O 0.2017 0.8614 0.2165  1 Re 1.76
O 0.3333 0.6667 0.5820  1 Re 1.74
O 0.3403 0.2017 0.7835  1 Re 1.76
O 0.6597 0.7983 0.2165  1 Re 1.76
O 0.6667 0.3333 0.4180  1 Re 1.74
O 0.7983 0.1386 0.7835  1 Re 1.76
O 0.8614 0.6597 0.7835  1 Re 1.76